1.
Entry from Alexandria: Pr2ErGe4Pt3 after structural relaxation (PBE-GGA).

It has space group P-4m2 (No. 115), with a = 4.325 Å, b = 4.325 Å, c = 11.246 Å, α = 90.00°, β = 90.00° and γ = 90.00°. Symmetry generates all atoms from Pr at (0.000, 0.500, 0.232), Er at (0.000, 0.000, 0.500), Ge at (0.000, 0.000, 0.000), Ge at (0.000, 0.500, 0.661), Ge at (0.500, 0.500, 0.000), Pt at (0.000, 0.500, 0.883) and Pt at (0.500, 0.500, 0.500).

The magnetization is 0.00 μB per formula unit. As for the formation energy: -922 meV per atom. The calculated total energy is -5.994 eV per atom.

2.
Entry from Alexandria: LiTl5Bi2 after structural relaxation (PBE-GGA).

It has space group Pbam (No. 55), with a = 6.827 Å, b = 14.022 Å, c = 5.050 Å, α = 90.00°, β = 90.00° and γ = 90.00°. Symmetry generates all atoms from Li at (0.000, 0.000, 0.000), Tl at (0.000, 0.500, 0.000), Tl at (0.027, 0.232, 0.000), Tl at (0.179, 0.644, 0.500) and Bi at (0.168, 0.909, 0.500).

The magnetization is 0.00 μB per formula unit. As for the formation energy: -78 meV per atom. The calculated total energy is -2.767 eV per atom.

3.
Entry from Alexandria: Er4SeS2N after structural relaxation (PBE-GGA).

It has space group P2/m (No. 10), with a = 6.556 Å, b = 3.754 Å, c = 6.765 Å, α = 90.00°, β = 108.83° and γ = 90.00°. Symmetry generates all atoms from Er at (0.221, 0.000, 0.210), Er at (0.238, 0.500, 0.788), Se at (0.000, 0.000, 0.500), S at (0.500, 0.000, 0.000), S at (0.500, 0.500, 0.500) and N at (0.000, 0.500, 0.000).

The magnetization is 0.00 μB per formula unit. The calculated total energy is -6.571 eV per atom. Its formation energy (no corrections) is -41.09 kcal/mol of atoms.

4.
Entry from Alexandria: YCrP4 after structural relaxation (PBE-GGA).

It has space group F-43m (No. 216), with a = 7.407 Å, b = 7.407 Å, c = 7.407 Å, α = 90.00°, β = 90.00° and γ = 90.00°. Symmetry generates all atoms from Y at (0.000, 0.000, 0.000), Cr at (0.250, 0.250, 0.250) and P at (0.120, 0.120, 0.620).

The magnetization is 4.34 μB per formula unit. As for the formation energy: 165 meV per atom. The calculated total energy is -6.123 eV per atom.